(1)
# GGA-PBE FeCoRe2, relaxed
data_FeCoRe2
_cell_length_a 3.715
_cell_length_b 3.715
_cell_length_c 3.680
_cell_angle_alpha 90.00
_cell_angle_beta 90.00
_cell_angle_gamma 90.00
_symmetry_space_group_name_H-M 'P 1'
_symmetry_Int_Tables_number 1
loop_
_symmetry_equiv_pos_as_xyz
'x,y,z'
loop_
_atom_site_label
_atom_site_type_symbol
_atom_site_fract_x
_atom_site_fract_y
_atom_site_fract_z
_atom_site_occupancy
Fe1 Fe 0.000 0.000 0.000 1
Co1 Co 0.500 0.500 0.000 1
Re1 Re 0.000 0.500 0.500 1
Re2 Re 0.500 0.000 0.500 1
# Electronic total energy ... -10.066 eV per atom
# Total magnetization ... 0.00 μB/cell
# Distance to the lowest polymorph of the same formula ... 0.08 eV per formula unit
# DFT formation energy ... 50 meV per atom



(2)
# GGA-PBE FeCoRe2, relaxed
data_FeCoRe2
_cell_length_a 4.517
_cell_length_b 4.517
_cell_length_c 2.628
_cell_angle_alpha 90.00
_cell_angle_beta 90.00
_cell_angle_gamma 108.75
_symmetry_space_group_name_H-M 'P 1'
_symmetry_Int_Tables_number 1
loop_
_symmetry_equiv_pos_as_xyz
'x,y,z'
loop_
_atom_site_label
_atom_site_type_symbol
_atom_site_fract_x
_atom_site_fract_y
_atom_site_fract_z
_atom_site_occupancy
Fe1 Fe 0.000 0.000 0.000 1
Co1 Co 0.500 0.500 0.000 1
Re1 Re 0.000 0.500 0.500 1
Re2 Re 0.500 0.000 0.500 1
# Electronic total energy ... -10.064 eV per atom
# Total magnetization ... 0.00 μB/cell
# Distance to the lowest polymorph of the same formula ... 0.08 eV per formula unit
# DFT formation energy ... 52 meV per atom



(3)
# GGA-PBE Fe2CoRe, relaxed
data_Fe2CoRe
_cell_length_a 8.715
_cell_length_b 8.715
_cell_length_c 8.715
_cell_angle_alpha 156.90
_cell_angle_beta 156.90
_cell_angle_gamma 32.89
_symmetry_space_group_name_H-M 'P 1'
_symmetry_Int_Tables_number 1
loop_
_symmetry_equiv_pos_as_xyz
'x,y,z'
loop_
_atom_site_label
_atom_site_type_symbol
_atom_site_fract_x
_atom_site_fract_y
_atom_site_fract_z
_atom_site_occupancy
Fe1 Fe 0.099 0.625 0.974 1
Fe2 Fe 0.375 0.349 0.474 1
Fe3 Fe 0.651 0.125 0.026 1
Fe4 Fe 0.875 0.901 0.526 1
Co1 Co 0.000 0.000 0.000 1
Co2 Co 0.750 0.250 0.500 1
Re1 Re 0.250 0.750 0.500 1
Re2 Re 0.500 0.500 0.000 1
# Electronic total energy ... -8.506 eV per atom
# Total magnetization ... 4.62 μB/cell
# DFT formation energy ... 614 meV per atom



(4)
# GGA-PBE FeCo2Re, relaxed
data_FeCo2Re
_cell_length_a 8.382
_cell_length_b 8.382
_cell_length_c 8.382
_cell_angle_alpha 18.05
_cell_angle_beta 18.05
_cell_angle_gamma 18.05
_symmetry_space_group_name_H-M 'P 1'
_symmetry_Int_Tables_number 1
loop_
_symmetry_equiv_pos_as_xyz
'x,y,z'
loop_
_atom_site_label
_atom_site_type_symbol
_atom_site_fract_x
_atom_site_fract_y
_atom_site_fract_z
_atom_site_occupancy
Fe1 Fe 0.000 0.000 0.000 1
Co1 Co 0.253 0.253 0.253 1
Co2 Co 0.747 0.747 0.747 1
Re1 Re 0.500 0.500 0.500 1
# Electronic total energy ... -8.629 eV per atom
# Total magnetization ... 4.81 μB/cell
# Distance to the lowest polymorph of the same formula ... 0.53 eV per formula unit
# DFT formation energy ... 152 meV per atom



(5)
# GGA-PBE Fe2CoRe, relaxed
data_Fe2CoRe
_cell_length_a 4.806
_cell_length_b 4.806
_cell_length_c 4.806
_cell_angle_alpha 145.16
_cell_angle_beta 128.80
_cell_angle_gamma 63.43
_symmetry_space_group_name_H-M 'P 1'
_symmetry_Int_Tables_number 1
loop_
_symmetry_equiv_pos_as_xyz
'x,y,z'
loop_
_atom_site_label
_atom_site_type_symbol
_atom_site_fract_x
_atom_site_fract_y
_atom_site_fract_z
_atom_site_occupancy
Fe1 Fe 0.000 0.000 0.000 1
Fe2 Fe 0.764 0.264 0.500 1
Co1 Co 0.517 0.517 0.000 1
Re1 Re 0.253 0.753 0.500 1
# Electronic total energy ... -8.991 eV per atom
# Total magnetization ... 5.52 μB/cell
# DFT formation energy ... 129 meV per atom



(6)
# GGA-PBE Fe2CoRe, relaxed
data_Fe2CoRe
_cell_length_a 2.590
_cell_length_b 3.584
_cell_length_c 5.109
_cell_angle_alpha 90.00
_cell_angle_beta 90.00
_cell_angle_gamma 90.00
_symmetry_space_group_name_H-M 'P 1'
_symmetry_Int_Tables_number 1
loop_
_symmetry_equiv_pos_as_xyz
'x,y,z'
loop_
_atom_site_label
_atom_site_type_symbol
_atom_site_fract_x
_atom_site_fract_y
_atom_site_fract_z
_atom_site_occupancy
Fe1 Fe 0.000 0.000 0.000 1
Fe2 Fe 0.500 0.500 0.245 1
Co1 Co 0.500 0.500 0.761 1
Re1 Re 0.000 0.000 0.500 1
# Electronic total energy ... -9.034 eV per atom
# Total magnetization ... 3.19 μB/cell
# DFT formation energy ... 86 meV per atom



(7)
# GGA-PBE Fe2CoRe, relaxed
data_Fe2CoRe
_cell_length_a 2.542
_cell_length_b 4.073
_cell_length_c 4.865
_cell_angle_alpha 90.00
_cell_angle_beta 101.09
_cell_angle_gamma 90.00
_symmetry_space_group_name_H-M 'P 1'
_symmetry_Int_Tables_number 1
loop_
_symmetry_equiv_pos_as_xyz
'x,y,z'
loop_
_atom_site_label
_atom_site_type_symbol
_atom_site_fract_x
_atom_site_fract_y
_atom_site_fract_z
_atom_site_occupancy
Fe1 Fe 0.000 0.000 0.000 1
Fe2 Fe 0.222 0.500 0.758 1
Co1 Co 0.437 0.000 0.513 1
Re1 Re 0.748 0.500 0.257 1
# Electronic total energy ... -9.013 eV per atom
# Total magnetization ... 5.97 μB/cell
# DFT formation energy ... 107 meV per atom



(8)
# GGA-PBE FeCoRe2, relaxed
data_FeCoRe2
_cell_length_a 4.512
_cell_length_b 4.512
_cell_length_c 4.544
_cell_angle_alpha 99.40
_cell_angle_beta 99.40
_cell_angle_gamma 34.12
_symmetry_space_group_name_H-M 'P 1'
_symmetry_Int_Tables_number 1
loop_
_symmetry_equiv_pos_as_xyz
'x,y,z'
loop_
_atom_site_label
_atom_site_type_symbol
_atom_site_fract_x
_atom_site_fract_y
_atom_site_fract_z
_atom_site_occupancy
Fe1 Fe 0.000 0.000 0.000 1
Co1 Co 0.750 0.750 0.263 1
Re1 Re 0.256 0.256 0.784 1
Re2 Re 0.497 0.497 0.481 1
# Electronic total energy ... -10.035 eV per atom
# Total magnetization ... 0.00 μB/cell
# Distance to the lowest polymorph of the same formula ... 0.20 eV per formula unit
# DFT formation energy ... 81 meV per atom



(9)
# GGA-PBE FeCoRe2, relaxed
data_FeCoRe2
_cell_length_a 4.826
_cell_length_b 4.826
_cell_length_c 4.826
_cell_angle_alpha 142.05
_cell_angle_beta 129.30
_cell_angle_gamma 65.05
_symmetry_space_group_name_H-M 'P 1'
_symmetry_Int_Tables_number 1
loop_
_symmetry_equiv_pos_as_xyz
'x,y,z'
loop_
_atom_site_label
_atom_site_type_symbol
_atom_site_fract_x
_atom_site_fract_y
_atom_site_fract_z
_atom_site_occupancy
Fe1 Fe 0.000 0.000 0.000 1
Co1 Co 0.769 0.269 0.500 1
Re1 Re 0.249 0.749 0.500 1
Re2 Re 0.510 0.510 0.000 1
# Electronic total energy ... -9.965 eV per atom
# Total magnetization ... 4.24 μB/cell
# Distance to the lowest polymorph of the same formula ... 0.48 eV per formula unit
# DFT formation energy ... 152 meV per atom



(10)
# GGA-PBE FeCo2Re, relaxed
data_FeCo2Re
_cell_length_a 3.544
_cell_length_b 3.544
_cell_length_c 3.640
_cell_angle_alpha 90.00
_cell_angle_beta 90.00
_cell_angle_gamma 90.00
_symmetry_space_group_name_H-M 'P 1'
_symmetry_Int_Tables_number 1
loop_
_symmetry_equiv_pos_as_xyz
'x,y,z'
loop_
_atom_site_label
_atom_site_type_symbol
_atom_site_fract_x
_atom_site_fract_y
_atom_site_fract_z
_atom_site_occupancy
Fe1 Fe 0.000 0.000 0.000 1
Co1 Co 0.000 0.500 0.500 1
Co2 Co 0.500 0.000 0.500 1
Re1 Re 0.500 0.500 0.000 1
# Electronic total energy ... -8.712 eV per atom
# Total magnetization ... 0.00 μB/cell
# Distance to the lowest polymorph of the same formula ... 0.19 eV per formula unit
# DFT formation energy ... 68 meV per atom



(11)
# GGA-PBE FeCoRe2, relaxed
data_FeCoRe2
_cell_length_a 5.295
_cell_length_b 5.295
_cell_length_c 5.295
_cell_angle_alpha 103.87
_cell_angle_beta 103.87
_cell_angle_gamma 121.37
_symmetry_space_group_name_H-M 'P 1'
_symmetry_Int_Tables_number 1
loop_
_symmetry_equiv_pos_as_xyz
'x,y,z'
loop_
_atom_site_label
_atom_site_type_symbol
_atom_site_fract_x
_atom_site_fract_y
_atom_site_fract_z
_atom_site_occupancy
Fe1 Fe 0.000 0.000 0.000 1
Fe2 Fe 0.750 0.250 0.500 1
Co1 Co 0.250 0.750 0.500 1
Co2 Co 0.500 0.500 0.000 1
Re1 Re 0.113 0.625 0.988 1
Re2 Re 0.375 0.363 0.488 1
Re3 Re 0.637 0.125 0.012 1
Re4 Re 0.875 0.887 0.512 1
# Electronic total energy ... -9.356 eV per atom
# Total magnetization ... 0.00 μB/cell
# Distance to the lowest polymorph of the same formula ... 2.92 eV per formula unit
# DFT formation energy ... 761 meV per atom



(12)
# GGA-PBE Fe2CoRe, relaxed
data_Fe2CoRe
_cell_length_a 4.107
_cell_length_b 4.107
_cell_length_c 4.107
_cell_angle_alpha 60.00
_cell_angle_beta 60.00
_cell_angle_gamma 60.00
_symmetry_space_group_name_H-M 'P 1'
_symmetry_Int_Tables_number 1
loop_
_symmetry_equiv_pos_as_xyz
'x,y,z'
loop_
_atom_site_label
_atom_site_type_symbol
_atom_site_fract_x
_atom_site_fract_y
_atom_site_fract_z
_atom_site_occupancy
Fe1 Fe 0.000 0.000 0.000 1
Fe2 Fe 0.250 0.250 0.250 1
Co1 Co 0.500 0.500 0.500 1
Re1 Re 0.750 0.750 0.750 1
# Electronic total energy ... -8.975 eV per atom
# Total magnetization ... 5.80 μB/cell
# DFT formation energy ... 145 meV per atom